A plane-wave DFT calculation with PBE was carried out for a geometry-optimized SrF2 structure.

abc: 5.8599 5.8599 5.8599
angles: 90.00 90.00 90.00
Closest atoms and distances in Å follow each position.
Space group Fm-3m (No. 225)
Asymmetric unit:
Sr 0.0000 0.0000 0.0000 (multiplicity 4)  8 F 2.54
F 0.2500 0.2500 0.2500 (multiplicity 8)  4 Sr 2.54

Calculated values
**M_tot**: 0.000 μB per atom
**E**: -5.7601 eV/atom

=====

A plane-wave DFT calculation with PBE was carried out for a geometry-optimized Sr4F structure.

abc: 5.8764 5.8764 5.8764
angles: 90.00 90.00 90.00
Closest atoms and distances in Å follow each position.
Space group Pm-3m (No. 221)
Asymmetric unit:
Sr 0.0000 0.0000 0.0000 (multiplicity 1)  12 Sr 4.16
Sr 0.0000 0.5000 0.5000 (multiplicity 3)  2 F 2.94
F 0.5000 0.5000 0.5000 (multiplicity 1)  6 Sr 2.94

Calculated values
**M_tot**: 0.000 μB per atom
**E**: -2.7118 eV/atom